(1)
# Pm4TlSbC | Alexandria | PBE | relaxed
data_Pm4TlSbC
_cell_length_a 7.035
_cell_length_b 16.271
_cell_length_c 7.028
_cell_angle_alpha 90.00
_cell_angle_beta 90.00
_cell_angle_gamma 90.00
_symmetry_space_group_name_H-M 'C m c m'
_symmetry_Int_Tables_number 63
_symmetry_space_group_name_Hall '-C 2c 2'
loop_
_atom_site_label
_atom_site_type_symbol
_atom_site_fract_x
_atom_site_fract_y
_atom_site_fract_z
Pm1 Pm 0.000 0.088 0.250
Pm2 Pm 0.000 0.410 0.250
Pm3 Pm 0.250 0.250 0.000
Tl1 Tl 0.000 0.111 0.750
Sb1 Sb 0.000 0.389 0.750
C1 C 0.000 0.251 0.250
# Calculated density (g cm⁻³): 7.6
# Energy relative to the elements, uncorrected (kcal/mol of atoms): -12.1
# Volume (Å³ per atom): 28.73
# Total moment (μB/f.u.): 0.00

***

(2)
# La2TmGa3Pt4 | Alexandria | PBE | relaxed
data_La2TmGa3Pt4
_cell_length_a 4.318
_cell_length_b 4.318
_cell_length_c 11.298
_cell_angle_alpha 90.00
_cell_angle_beta 90.00
_cell_angle_gamma 90.00
_symmetry_space_group_name_H-M 'P -4 m 2'
_symmetry_Int_Tables_number 115
_symmetry_space_group_name_Hall 'P -4 -2'
loop_
_atom_site_label
_atom_site_type_symbol
_atom_site_fract_x
_atom_site_fract_y
_atom_site_fract_z
La1 La 0.000 0.500 0.231
Tm1 Tm 0.000 0.000 0.500
Ga1 Ga 0.000 0.500 0.879
Ga2 Ga 0.500 0.500 0.500
Pt1 Pt 0.000 0.000 0.000
Pt2 Pt 0.000 0.500 0.654
Pt3 Pt 0.500 0.500 0.000
# Calculated density (g cm⁻³): 11.3
# Volume (Å³ per atom): 21.07
# Total moment (μB/f.u.): 0.00
# Energy of formation from the pure elements (eV/f.u.): -10.3

***

(3)
# MgCuSe3 | Alexandria | PBE | relaxed
data_MgCuSe3
_cell_length_a 4.823
_cell_length_b 4.823
_cell_length_c 4.823
_cell_angle_alpha 90.00
_cell_angle_beta 90.00
_cell_angle_gamma 90.00
_symmetry_space_group_name_H-M 'P m -3 m'
_symmetry_Int_Tables_number 221
_symmetry_space_group_name_Hall '-P 4 2 3'
loop_
_atom_site_label
_atom_site_type_symbol
_atom_site_fract_x
_atom_site_fract_y
_atom_site_fract_z
Mg1 Mg 0.000 0.000 0.000
Cu1 Cu 0.500 0.500 0.500
Se1 Se 0.000 0.500 0.500
# Calculated density (g cm⁻³): 4.8
# Energy relative to the elements, uncorrected (kcal/mol of atoms): 2.4
# Relative energy among the computed polymorphs (meV/atom): 346
# Volume (Å³ per atom): 22.44
# Total moment (μB/f.u.): 0.00

***

(4)
# ZrTl2As | Alexandria | PBE | relaxed
data_ZrTl2As
_cell_length_a 16.328
_cell_length_b 3.555
_cell_length_c 3.960
_cell_angle_alpha 90.00
_cell_angle_beta 103.78
_cell_angle_gamma 90.00
_symmetry_space_group_name_H-M 'C 1 2/m 1'
_symmetry_Int_Tables_number 12
_symmetry_space_group_name_Hall '-C 2y'
loop_
_atom_site_label
_atom_site_type_symbol
_atom_site_fract_x
_atom_site_fract_y
_atom_site_fract_z
Zr1 Zr 0.000 0.000 0.000
Tl1 Tl 0.180 0.500 0.180
As1 As 0.000 0.500 0.500
# Calculated density (g cm⁻³): 8.6
# Relative energy among the computed polymorphs (meV/atom): 29
# Volume (Å³ per atom): 27.90
# Total moment (μB/f.u.): 0.00
# Energy of formation from the pure elements (eV/f.u.): -1.0

***

(5)
# EuGd2Al | Alexandria | PBE | relaxed
data_EuGd2Al
_cell_length_a 3.759
_cell_length_b 3.759
_cell_length_c 8.482
_cell_angle_alpha 90.00
_cell_angle_beta 90.00
_cell_angle_gamma 90.00
_symmetry_space_group_name_H-M 'P 4/m m m'
_symmetry_Int_Tables_number 123
_symmetry_space_group_name_Hall '-P 4 2'
loop_
_atom_site_label
_atom_site_type_symbol
_atom_site_fract_x
_atom_site_fract_y
_atom_site_fract_z
Eu1 Eu 0.000 0.000 0.000
Gd1 Gd 0.500 0.500 0.301
Al1 Al 0.000 0.000 0.500
# Calculated density (g cm⁻³): 6.8
# Relative energy among the computed polymorphs (meV/atom): 0
# Volume (Å³ per atom): 29.97
# Total moment (μB/f.u.): 22.61
# Energy of formation from the pure elements (eV/f.u.): -0.6

***

(6)
# BePbAu2 | Alexandria | PBE | relaxed
data_BePbAu2
_cell_length_a 4.237
_cell_length_b 4.237
_cell_length_c 8.483
_cell_angle_alpha 90.00
_cell_angle_beta 90.00
_cell_angle_gamma 90.00
_symmetry_space_group_name_H-M 'I -4 m 2'
_symmetry_Int_Tables_number 119
_symmetry_space_group_name_Hall 'I -4 -2'
loop_
_atom_site_label
_atom_site_type_symbol
_atom_site_fract_x
_atom_site_fract_y
_atom_site_fract_z
Be1 Be 0.000 0.000 0.000
Pb1 Pb 0.000 0.500 0.750
Au1 Au 0.000 0.000 0.500
Au2 Au 0.000 0.500 0.250
# Calculated density (g cm⁻³): 13.3
# Relative energy among the computed polymorphs (meV/atom): 346
# Volume (Å³ per atom): 19.04
# Total moment (μB/f.u.): 0.00
# Energy of formation from the pure elements (eV/f.u.): 1.3

***

(7)
# TeIrBrN2 | Alexandria | PBE | relaxed
data_TeIrBrN2
_cell_length_a 3.908
_cell_length_b 3.908
_cell_length_c 5.893
_cell_angle_alpha 90.00
_cell_angle_beta 90.00
_cell_angle_gamma 90.00
_symmetry_space_group_name_H-M 'P 4/m m m'
_symmetry_Int_Tables_number 123
_symmetry_space_group_name_Hall '-P 4 2'
loop_
_atom_site_label
_atom_site_type_symbol
_atom_site_fract_x
_atom_site_fract_y
_atom_site_fract_z
Te1 Te 0.000 0.000 0.000
Ir1 Ir 0.000 0.000 0.500
Br1 Br 0.500 0.500 0.000
N1 N 0.000 0.500 0.500
# Calculated density (g cm⁻³): 7.9
# Energy relative to the elements, uncorrected (kcal/mol of atoms): 20.9
# Relative energy among the computed polymorphs (meV/atom): 0
# Volume (Å³ per atom): 18.00
# Total moment (μB/f.u.): 0.21

***

(8)
# Li5TlAg6 | Alexandria | PBE | relaxed
data_Li5TlAg6
_cell_length_a 8.265
_cell_length_b 13.090
_cell_length_c 4.487
_cell_angle_alpha 90.00
_cell_angle_beta 122.44
_cell_angle_gamma 90.00
_symmetry_space_group_name_H-M 'C 1 2/m 1'
_symmetry_Int_Tables_number 12
_symmetry_space_group_name_Hall '-C 2y'
loop_
_atom_site_label
_atom_site_type_symbol
_atom_site_fract_x
_atom_site_fract_y
_atom_site_fract_z
Li1 Li 0.000 0.000 0.000
Li2 Li 0.000 0.177 0.500
Li3 Li 0.000 0.347 0.000
Tl1 Tl 0.000 0.500 0.500
Ag1 Ag 0.213 0.000 0.713
Ag2 Ag 0.224 0.174 0.225
# Calculated density (g cm⁻³): 7.2
# Relative energy among the computed polymorphs (meV/atom): 0
# Volume (Å³ per atom): 17.07
# Total moment (μB/f.u.): 0.00
# Energy of formation from the pure elements (eV/f.u.): -2.1

***

(9)
# AcSb4I | Alexandria | PBE | relaxed
data_AcSb4I
_cell_length_a 9.076
_cell_length_b 9.076
_cell_length_c 9.076
_cell_angle_alpha 90.00
_cell_angle_beta 90.00
_cell_angle_gamma 90.00
_symmetry_space_group_name_H-M 'F -4 3 m'
_symmetry_Int_Tables_number 216
_symmetry_space_group_name_Hall 'F -4 2 3'
loop_
_atom_site_label
_atom_site_type_symbol
_atom_site_fract_x
_atom_site_fract_y
_atom_site_fract_z
Ac1 Ac 0.000 0.000 0.000
Sb1 Sb 0.122 0.122 0.378
I1 I 0.250 0.250 0.750
# Calculated density (g cm⁻³): 7.5
# Energy relative to the elements, uncorrected (kcal/mol of atoms): -7.0
# Volume (Å³ per atom): 31.15
# Total moment (μB/f.u.): 0.00

***

(10)
# ZnB2PtBr | Alexandria | PBE | relaxed
data_ZnB2PtBr
_cell_length_a 4.074
_cell_length_b 4.074
_cell_length_c 5.097
_cell_angle_alpha 90.00
_cell_angle_beta 90.00
_cell_angle_gamma 90.00
_symmetry_space_group_name_H-M 'P 4/m m m'
_symmetry_Int_Tables_number 123
_symmetry_space_group_name_Hall '-P 4 2'
loop_
_atom_site_label
_atom_site_type_symbol
_atom_site_fract_x
_atom_site_fract_y
_atom_site_fract_z
Zn1 Zn 0.000 0.000 0.000
B1 B 0.000 0.500 0.500
Pt1 Pt 0.500 0.500 0.000
Br1 Br 0.500 0.500 0.500
# Calculated density (g cm⁻³): 7.1
# Energy relative to the elements, uncorrected (kcal/mol of atoms): 46.2
# Volume (Å³ per atom): 16.92
# Total moment (μB/f.u.): 0.00

***

(11)
# HfBOs2Ru | Alexandria | PBE | relaxed
data_HfBOs2Ru
_cell_length_a 4.137
_cell_length_b 4.137
_cell_length_c 4.128
_cell_angle_alpha 90.00
_cell_angle_beta 90.00
_cell_angle_gamma 90.00
_symmetry_space_group_name_H-M 'P 4/m m m'
_symmetry_Int_Tables_number 123
_symmetry_space_group_name_Hall '-P 4 2'
loop_
_atom_site_label
_atom_site_type_symbol
_atom_site_fract_x
_atom_site_fract_y
_atom_site_fract_z
Hf1 Hf 0.000 0.000 0.000
B1 B 0.500 0.500 0.500
Os1 Os 0.000 0.500 0.500
Ru1 Ru 0.500 0.500 0.000
# Calculated density (g cm⁻³): 15.8
# Volume (Å³ per atom): 14.13
# Total moment (μB/f.u.): 0.00
# Energy of formation from the pure elements (eV/f.u.): -2.0

***

(12)
# DyTm4Os2 | Alexandria | PBE | relaxed
data_DyTm4Os2
_cell_length_a 7.704
_cell_length_b 6.193
_cell_length_c 7.870
_cell_angle_alpha 90.00
_cell_angle_beta 112.17
_cell_angle_gamma 90.00
_symmetry_space_group_name_H-M 'P 1 21/m 1'
_symmetry_Int_Tables_number 11
_symmetry_space_group_name_Hall '-P 2yb'
loop_
_atom_site_label
_atom_site_type_symbol
_atom_site_fract_x
_atom_site_fract_y
_atom_site_fract_z
Dy1 Dy 0.025 0.250 0.160
Tm1 Tm 0.240 0.501 0.580
Tm2 Tm 0.328 0.750 0.253
Tm3 Tm 0.381 0.250 0.019
Os1 Os 0.026 0.250 0.744
Os2 Os 0.415 0.250 0.376
# Calculated density (g cm⁻³): 11.6
# Volume (Å³ per atom): 24.84
# Total moment (μB/f.u.): 0.00
# Energy of formation from the pure elements (eV/f.u.): -1.6

***

(13)
# TbPm5YHo2 | Alexandria | PBE | relaxed
data_TbPm5YHo2
_cell_length_a 5.656
_cell_length_b 20.214
_cell_length_c 10.707
_cell_angle_alpha 90.00
_cell_angle_beta 90.00
_cell_angle_gamma 90.00
_symmetry_space_group_name_H-M 'C m c 21'
_symmetry_Int_Tables_number 36
_symmetry_space_group_name_Hall 'C 2c -2'
loop_
_atom_site_label
_atom_site_type_symbol
_atom_site_fract_x
_atom_site_fract_y
_atom_site_fract_z
Tb1 Tb 0.000 0.089 0.000
Pm1 Pm 0.000 0.019 0.283
Pm2 Pm 0.000 0.112 0.564
Pm3 Pm 0.000 0.202 0.249
Pm4 Pm 0.000 0.219 0.852
Pm5 Pm 0.000 0.483 0.561
Y1 Y 0.000 0.300 0.552
Ho1 Ho 0.000 0.385 0.857
Ho2 Ho 0.000 0.388 0.278
# Calculated density (g cm⁻³): 7.1
# Volume (Å³ per atom): 34.00
# Total moment (μB/f.u.): 0.00
# Energy of formation from the pure elements (eV/f.u.): 1.3

***

(14)
# ZrMn2Fe | Alexandria | PBE | relaxed
data_ZrMn2Fe
_cell_length_a 2.8277
_cell_length_b 2.8277
_cell_length_c 25.8364
_cell_angle_alpha 90.00
_cell_angle_beta 90.00
_cell_angle_gamma 120.00
_symmetry_space_group_name_H-M 'R -3 m'
_symmetry_Int_Tables_number 166
_symmetry_space_group_name_Hall '-R 3 2"'
loop_
_atom_site_label
_atom_site_type_symbol
_atom_site_fract_x
_atom_site_fract_y
_atom_site_fract_z
Zr1 Zr 0.0000 0.0000 0.0000
Mn1 Mn 0.0000 0.0000 0.2380
Fe1 Fe 0.0000 0.0000 0.5000
# Calculated density (g cm⁻³): 7.2
# Relative energy among the computed polymorphs (meV/atom): 381
# Volume (Å³ per atom): 14.91
# Total moment (μB/f.u.): 6.93
# Energy of formation from the pure elements (eV/f.u.): 1.7

***

(15)
# NaTmS2O8 | Alexandria | PBE | relaxed
data_NaTmS2O8
_cell_length_a 5.3658
_cell_length_b 5.3658
_cell_length_c 7.0650
_cell_angle_alpha 90.00
_cell_angle_beta 90.00
_cell_angle_gamma 120.00
_symmetry_space_group_name_H-M 'P -3'
_symmetry_Int_Tables_number 147
_symmetry_space_group_name_Hall '-P 3'
loop_
_atom_site_label
_atom_site_type_symbol
_atom_site_fract_x
_atom_site_fract_y
_atom_site_fract_z
Na1 Na 0.0000 0.0000 0.0000
Tm1 Tm 0.0000 0.0000 0.5000
S1 S 0.3333 0.6667 0.7732
O1 O 0.1812 0.3657 0.6966
O2 O 0.3333 0.6667 0.9781
# Calculated density (g cm⁻³): 3.6
# Energy relative to the elements, uncorrected (kcal/mol of atoms): -47.0
# Relative energy among the computed polymorphs (meV/atom): 33
# Volume (Å³ per atom): 14.68
# Total moment (μB/f.u.): 0.00

***

(16)
# La2DyY2Tm4 | Alexandria | PBE | relaxed
data_La2DyY2Tm4
_cell_length_a 18.668
_cell_length_b 3.600
_cell_length_c 9.558
_cell_angle_alpha 90.00
_cell_angle_beta 115.74
_cell_angle_gamma 90.00
_symmetry_space_group_name_H-M 'C 1 2/m 1'
_symmetry_Int_Tables_number 12
_symmetry_space_group_name_Hall '-C 2y'
loop_
_atom_site_label
_atom_site_type_symbol
_atom_site_fract_x
_atom_site_fract_y
_atom_site_fract_z
La1 La 0.165 0.000 0.002
Dy1 Dy 0.000 0.500 0.000
Y1 Y 0.146 0.500 0.661
Tm1 Tm 0.020 0.000 0.336
Tm2 Tm 0.185 0.500 0.339
# Calculated density (g cm⁻³): 7.4
# Volume (Å³ per atom): 32.14
# Total moment (μB/f.u.): 0.00
# Energy of formation from the pure elements (eV/f.u.): 0.0

***

(17)
# V2CoMo | Alexandria | PBE | relaxed
data_V2CoMo
_cell_length_a 5.964
_cell_length_b 5.964
_cell_length_c 5.964
_cell_angle_alpha 90.00
_cell_angle_beta 90.00
_cell_angle_gamma 90.00
_symmetry_space_group_name_H-M 'F m -3 m'
_symmetry_Int_Tables_number 225
_symmetry_space_group_name_Hall '-F 4 2 3'
loop_
_atom_site_label
_atom_site_type_symbol
_atom_site_fract_x
_atom_site_fract_y
_atom_site_fract_z
V1 V 0.250 0.250 0.250
Co1 Co 0.000 0.000 0.000
Mo1 Mo 0.000 0.000 0.500
# Calculated density (g cm⁻³): 8.0
# Relative energy among the computed polymorphs (meV/atom): 4
# Volume (Å³ per atom): 13.26
# Total moment (μB/f.u.): 0.99
# Energy of formation from the pure elements (eV/f.u.): -0.4

***

(18)
# Tb3Y2Ho7 | Alexandria | PBE | relaxed
data_Tb3Y2Ho7
_cell_length_a 5.666
_cell_length_b 37.759
_cell_length_c 3.572
_cell_angle_alpha 90.00
_cell_angle_beta 90.00
_cell_angle_gamma 90.00
_symmetry_space_group_name_H-M 'C m m m'
_symmetry_Int_Tables_number 65
_symmetry_space_group_name_Hall '-C 2 2'
loop_
_atom_site_label
_atom_site_type_symbol
_atom_site_fract_x
_atom_site_fract_y
_atom_site_fract_z
Tb1 Tb 0.000 0.000 0.000
Tb2 Tb 0.000 0.185 0.000
Y1 Y 0.000 0.353 0.500
Ho1 Ho 0.000 0.092 0.500
Ho2 Ho 0.000 0.269 0.500
Ho3 Ho 0.000 0.429 0.000
Ho4 Ho 0.000 0.500 0.500
# Calculated density (g cm⁻³): 7.9
# Relative energy among the computed polymorphs (meV/atom): 31
# Volume (Å³ per atom): 31.85
# Total moment (μB/f.u.): 0.00
# Energy of formation from the pure elements (eV/f.u.): 1.3

***

(19)
# LiOs2Cl8 | Alexandria | PBE | relaxed
data_LiOs2Cl8
_cell_length_a 12.500
_cell_length_b 8.932
_cell_length_c 6.421
_cell_angle_alpha 90.00
_cell_angle_beta 99.46
_cell_angle_gamma 90.00
_symmetry_space_group_name_H-M 'C 1 2/m 1'
_symmetry_Int_Tables_number 12
_symmetry_space_group_name_Hall '-C 2y'
loop_
_atom_site_label
_atom_site_type_symbol
_atom_site_fract_x
_atom_site_fract_y
_atom_site_fract_z
Li1 Li 0.000 0.000 0.000
Os1 Os 0.194 0.000 0.665
Cl1 Cl 0.098 0.180 0.800
Cl2 Cl 0.128 0.500 0.237
Cl3 Cl 0.191 0.000 0.317
# Calculated density (g cm⁻³): 3.2
# Energy relative to the elements, uncorrected (kcal/mol of atoms): -7.3
# Volume (Å³ per atom): 32.14
# Total moment (μB/f.u.): 0.93

***

(20)
# K4Be5 | Alexandria | PBE | relaxed
data_K4Be5
_cell_length_a 9.4884
_cell_length_b 9.4884
_cell_length_c 6.4635
_cell_angle_alpha 90.00
_cell_angle_beta 90.00
_cell_angle_gamma 120.00
_symmetry_space_group_name_H-M 'P 63/m c m'
_symmetry_Int_Tables_number 193
_symmetry_space_group_name_Hall '-P 6c 2'
loop_
_atom_site_label
_atom_site_type_symbol
_atom_site_fract_x
_atom_site_fract_y
_atom_site_fract_z
K1 K 0.0000 0.0000 0.0000
K2 K 0.0000 0.3486 0.2500
Be1 Be 0.0000 0.3409 0.7500
Be2 Be 0.3333 0.6667 0.0000
# Calculated density (g cm⁻³): 1.3
# Relative energy among the computed polymorphs (meV/atom): 648
# Volume (Å³ per atom): 28.00
# Total moment (μB/f.u.): 0.00
# Energy of formation from the pure elements (eV/f.u.): 12.2